[1]
Entry from Alexandria via LeMat-Bulk: an optimized crystal structure of CaAsPbSe2 (PBE-GGA).

Calculated values
The calculation puts the uncorrected formation energy at 0.0249 eV/atom. The density is 4.70 g cm⁻³. Its symmetry is No. 123. The energy comes out at -0.1264 hartree per atom. Its energy relative to the lowest polymorph listed for this composition is 0 meV/atom.

POSCAR file:
```
CaAsPbSe2
1.0
5.5593 0.0000 0.0000
0.0000 5.5593 0.0000
0.0000 0.0000 5.4873
Ca As Pb Se
1 1 1 2
Cartesian
0.0000 0.0000 0.0000
0.0000 0.0000 2.7436
2.7797 2.7797 2.7436
0.0000 2.7797 0.0000
2.7797 0.0000 0.0000
```

[2]
Entry from Alexandria via LeMat-Bulk: an optimized crystal structure of CaAs2PbSe (PBE-GGA).

Calculated values
The calculation puts the uncorrected formation energy at 0.3297 eV/atom. The density is 4.14 g cm⁻³. Its symmetry is No. 123. The energy comes out at -0.1238 hartree per atom. Its energy relative to the lowest polymorph listed for this composition is 33 meV/atom.

POSCAR file:
```
CaAs2PbSe
1.0
5.6973 0.0000 0.0000
0.0000 5.6973 0.0000
0.0000 0.0000 5.8893
Ca As Pb Se
1 2 1 1
Cartesian
0.0000 0.0000 0.0000
0.0000 2.8486 2.9447
2.8486 0.0000 2.9447
2.8486 2.8486 2.9447
2.8486 2.8486 0.0000
```

[3]
Entry from Alexandria via LeMat-Bulk: an optimized crystal structure of CaAs2PbSe (PBE-GGA).

Calculated values
The calculation puts the uncorrected formation energy at 0.2965 eV/atom. The density is 4.74 g cm⁻³. Its symmetry is No. 123. The energy comes out at -0.1250 hartree per atom. Its energy relative to the lowest polymorph listed for this composition is 0 meV/atom.

POSCAR file:
```
CaAs2PbSe
1.0
5.4906 0.0000 0.0000
0.0000 5.4906 0.0000
0.0000 0.0000 5.5345
Ca As Pb Se
1 2 1 1
Cartesian
0.0000 0.0000 0.0000
0.0000 2.7453 0.0000
2.7453 0.0000 0.0000
2.7453 2.7453 2.7673
0.0000 0.0000 2.7673
```

[4]
Entry from Alexandria via LeMat-Bulk: an optimized crystal structure of CaTiAsPb2 (PBE-GGA).

Calculated values
The density is 5.96 g cm⁻³. As for the formation enthalpy at 0 K: 0.516 eV/atom. Its symmetry is No. 123. The energy comes out at -0.1424 hartree per atom.

POSCAR file:
```
CaTiAsPb2
1.0
5.3435 0.0000 0.0000
0.0000 5.3435 0.0000
0.0000 0.0000 5.6341
Ca Ti As Pb
1 1 1 2
Cartesian
0.0000 0.0000 0.0000
0.0000 0.0000 2.8170
2.6717 2.6717 0.0000
0.0000 2.6717 2.8170
2.6717 0.0000 2.8170
```

[5]
Entry from Alexandria via LeMat-Bulk: an optimized crystal structure of CaAs2Pd (PBE-GGA).

Calculated values
The density is 6.28 g cm⁻³. As for the formation enthalpy at 0 K: -0.412 eV/atom. Its symmetry is No. 225. The energy comes out at -0.1667 hartree per atom.

POSCAR file:
```
CaAs2Pd
1.0
6.7919 0.0000 0.0000
0.0000 6.7919 0.0000
0.0000 0.0000 6.7919
Ca As Pd
4 8 4
Cartesian
0.0000 0.0000 0.0000
0.0000 3.3960 3.3960
3.3960 0.0000 3.3960
3.3960 3.3960 0.0000
1.6980 1.6980 1.6980
1.6980 1.6980 5.0939
1.6980 5.0939 1.6980
1.6980 5.0939 5.0939
5.0939 1.6980 1.6980
5.0939 1.6980 5.0939
5.0939 5.0939 1.6980
5.0939 5.0939 5.0939
0.0000 0.0000 3.3960
0.0000 3.3960 0.0000
3.3960 0.0000 0.0000
3.3960 3.3960 3.3960
```

[6]
Entry from Alexandria via LeMat-Bulk: an optimized crystal structure of CaAs2Pd2 (PBE-GGA).

Calculated values
The density is 6.54 g cm⁻³. As for the formation enthalpy at 0 K: -0.626 eV/atom. Its symmetry is No. 139. The energy comes out at -0.1824 hartree per atom.

POSCAR file:
```
CaAs2Pd2
1.0
4.7087 0.0000 0.0000
0.0000 4.7087 0.0000
0.0000 0.0000 9.2180
Ca As Pd
2 4 4
Cartesian
0.0000 0.0000 0.0000
2.3544 2.3544 4.6090
0.0000 2.3544 2.3045
0.0000 2.3544 6.9135
2.3544 0.0000 2.3045
2.3544 0.0000 6.9135
0.0000 0.0000 3.2494
0.0000 0.0000 5.9686
2.3544 2.3544 1.3596
2.3544 2.3544 7.8585
```

[7]
Entry from Alexandria via LeMat-Bulk: an optimized crystal structure of CaAs2Pd8 (PBE-GGA).

Calculated values
The density is 7.49 g cm⁻³. As for the formation enthalpy at 0 K: -0.140 eV/atom. Its symmetry is No. 123. The energy comes out at -0.1817 hartree per atom.

POSCAR file:
```
CaAs2Pd8
1.0
5.5914 0.0000 0.0000
0.0000 5.5914 0.0000
0.0000 0.0000 7.3848
Ca As Pd
1 2 8
Cartesian
0.0000 0.0000 0.0000
0.0000 2.7957 3.6924
2.7957 0.0000 3.6924
1.4186 1.4186 2.1706
1.4186 1.4186 5.2142
1.4186 4.1728 2.1706
1.4186 4.1728 5.2142
4.1728 1.4186 2.1706
4.1728 1.4186 5.2142
4.1728 4.1728 2.1706
4.1728 4.1728 5.2142
```

[8]
Entry from Alexandria via LeMat-Bulk: an optimized crystal structure of CaAs3Pd (PBE-GGA).

Calculated values
The density is 5.70 g cm⁻³. As for the formation enthalpy at 0 K: -0.527 eV/atom. Its symmetry is No. 4. The energy comes out at -0.1748 hartree per atom. Its energy relative to the lowest polymorph listed for this composition is 0 meV/atom.

POSCAR file:
```
CaAs3Pd
1.0
5.5511 0.0000 0.0000
0.0000 5.7752 0.0000
-0.5763 0.0000 6.7466
Ca As Pd
2 6 2
Cartesian
0.6320 0.0000 2.3830
4.3427 2.8876 4.3636
-0.1047 0.2115 5.4932
0.9579 2.3304 6.6303
1.4714 2.8242 3.0186
3.5033 5.7118 3.7280
4.0168 5.2179 0.1164
5.0795 3.0991 1.2534
1.7311 4.2682 5.1312
3.2436 1.3807 1.6155
```